#one
# Na6Al4FeSi8O26

Na6Al4FeSi8O26 at its PBEsol-relaxed geometry (SCAN, the Alexandria database).

Calculated values
Density, g cm⁻³: 2.691
M_tot, μB per cell: 8.00

Unit cell a=14.9611 b=8.0260 c=10.6456 alpha=90.00 beta=114.52 gamma=90.00
Closest atoms and distances in Å follow each position.
Space group C2/m (No. 12)
Symmetry-distinct sites (fractional):
Na (0.0341, 0.0000, 0.3341) (multiplicity 4)  5 O 2.28-2.45
Na (0.1474, 0.5000, 0.3774) (multiplicity 4)  5 O 2.33-2.49
Na (0.2296, 0.0000, 0.9383) (multiplicity 4)  5 O 2.43-2.55
Al (0.0561, 0.3007, 0.8464) (multiplicity 8)  4 O 1.71-1.77
Fe (0.0000, 0.5000, 0.5000) (multiplicity 2)  4 O 2.01
Si (0.1478, 0.1926, 0.6317) (multiplicity 8)  4 O 1.60-1.68
Si (0.1500, 0.1918, 0.1555) (multiplicity 8)  4 O 1.61-1.66
O (0.0225, 0.5000, 0.7895) (multiplicity 4)  2 Al 1.71
O (0.0487, 0.1851, 0.1738) (multiplicity 8)  1 Si 1.61, 1 Al 1.76
O (0.0972, 0.3230, 0.5094) (multiplicity 8)  1 Si 1.60
O (0.1088, 0.1853, 0.7534) (multiplicity 8)  1 Si 1.63, 1 Al 1.76
O (0.1328, 0.0000, 0.5651) (multiplicity 4)  2 Si 1.68
O (0.1454, 0.2886, 0.0192) (multiplicity 8)  1 Si 1.62, 1 Al 1.77
O (0.1888, 0.0000, 0.1487) (multiplicity 4)  2 Si 1.66
O (0.2308, 0.2871, 0.2926) (multiplicity 8)  2 Si 1.65-1.66

=====

#two
# Na6Al4FeSi8O26

Na6Al4FeSi8O26 at its PBEsol-relaxed geometry (SCAN, the Alexandria database).

Calculated values
Density, g cm⁻³: 2.687
M_tot, μB per cell: 4.00

Unit cell a=8.0009 b=8.4932 c=10.6421 alpha=111.08 beta=90.02 gamma=118.10
Closest atoms and distances in Å follow each position.
Space group P1 (No. 1)
Symmetry-distinct sites (fractional):
Na (0.0000, 0.0000, 0.0000) (multiplicity 1)  5 O 2.28-2.55
Na (0.0693, 0.1367, 0.6679) (multiplicity 1)  5 O 2.28-2.55
Na (0.2607, 0.5280, 0.2766) (multiplicity 1)  5 O 2.38-2.64
Na (0.3695, 0.7664, 0.9529) (multiplicity 1)  5 O 2.31-2.55
Na (0.6708, 0.3703, 0.7148) (multiplicity 1)  5 O 2.31-2.55
Na (0.8014, 0.6087, 0.3912) (multiplicity 1)  5 O 2.38-2.65
Al (0.2738, 0.9530, 0.4873) (multiplicity 1)  4 O 1.74-1.76
Al (0.3888, 0.1838, 0.1806) (multiplicity 1)  4 O 1.74-1.76
Al (0.6810, 0.7725, 0.1801) (multiplicity 1)  4 O 1.74-1.76
Al (0.9768, 0.3639, 0.4876) (multiplicity 1)  4 O 1.74-1.76
Fe (0.5080, 0.0684, 0.8339) (multiplicity 1)  4 O 1.99-2.01
Si (0.0599, 0.7703, 0.7022) (multiplicity 1)  4 O 1.61-1.69
Si (0.0723, 0.7683, 0.1814) (multiplicity 1)  4 O 1.62-1.66
Si (0.3572, 0.3660, 0.9654) (multiplicity 1)  4 O 1.61-1.69
Si (0.3726, 0.3687, 0.4865) (multiplicity 1)  4 O 1.62-1.66
Si (0.6665, 0.9530, 0.4882) (multiplicity 1)  4 O 1.62-1.66
Si (0.6759, 0.7742, 0.7019) (multiplicity 1)  4 O 1.59-1.66
Si (0.7815, 0.1836, 0.1795) (multiplicity 1)  4 O 1.62-1.66
Si (0.9697, 0.3629, 0.9661) (multiplicity 1)  4 O 1.59-1.66
O (0.0819, 0.6035, 0.0432) (multiplicity 1)  2 Si 1.65-1.66
O (0.1034, 0.8513, 0.5802) (multiplicity 1)  1 Si 1.64, 1 Al 1.76
O (0.1382, 0.3179, 0.8993) (multiplicity 1)  2 Si 1.66-1.69
O (0.1757, 0.9685, 0.1581) (multiplicity 1)  1 Si 1.62, 1 Al 1.75
O (0.1840, 0.7801, 0.3155) (multiplicity 1)  1 Si 1.63, 1 Al 1.76
O (0.2183, 0.4383, 0.4735) (multiplicity 1)  1 Si 1.62, 1 Al 1.75
O (0.2382, 0.8752, 0.8286) (multiplicity 1)  1 Si 1.61
O (0.2763, 0.1685, 0.5099) (multiplicity 1)  1 Si 1.62, 1 Al 1.75
O (0.3198, 0.2852, 0.0875) (multiplicity 1)  1 Si 1.64, 1 Al 1.76
O (0.4298, 0.2606, 0.8388) (multiplicity 1)  1 Si 1.61
O (0.4723, 0.3569, 0.3524) (multiplicity 1)  1 Si 1.63, 1 Al 1.76
O (0.4892, 0.6040, 0.0376) (multiplicity 1)  1 Si 1.63, 1 Al 1.75
O (0.5078, 0.0121, 0.5452) (multiplicity 1)  1 Si 1.62, 1 Al 1.74
O (0.5469, 0.5335, 0.6248) (multiplicity 1)  2 Si 1.65-1.66
O (0.5637, 0.1247, 0.1226) (multiplicity 1)  1 Si 1.62, 1 Al 1.74
O (0.5861, 0.7892, 0.3304) (multiplicity 1)  1 Si 1.63, 1 Al 1.76
O (0.5868, 0.8709, 0.8174) (multiplicity 1)  1 Si 1.59
O (0.7202, 0.8533, 0.5783) (multiplicity 1)  2 Si 1.65-1.66
O (0.7836, 0.2668, 0.8508) (multiplicity 1)  1 Si 1.59
O (0.7936, 0.9911, 0.1586) (multiplicity 1)  1 Si 1.62, 1 Al 1.74
O (0.8483, 0.6984, 0.1944) (multiplicity 1)  1 Si 1.62, 1 Al 1.75
O (0.8651, 0.3473, 0.3374) (multiplicity 1)  1 Si 1.63, 1 Al 1.76
O (0.8713, 0.1453, 0.5091) (multiplicity 1)  1 Si 1.62, 1 Al 1.74
O (0.8894, 0.8189, 0.7685) (multiplicity 1)  2 Si 1.66-1.69
O (0.9348, 0.2835, 0.0896) (multiplicity 1)  2 Si 1.65-1.66
O (0.9533, 0.5323, 0.6299) (multiplicity 1)  1 Si 1.63, 1 Al 1.75

=====

In terms of stability, #two leads; the second structure lies 11 meV per atom higher.

=====

#one
# Al2FeO4

Al2FeO4 at its PBEsol-relaxed geometry (SCAN, the Alexandria database).

Calculated values
Density, g cm⁻³: 4.298
M_tot, μB per cell: 32.00

Unit cell a=8.1293 b=8.1293 c=8.1293 alpha=90.00 beta=90.00 gamma=90.00
Closest atoms and distances in Å follow each position.
Space group Fd-3m (No. 227, origin choice 2)
Symmetry-distinct sites (fractional):
Al (0.0000, 0.0000, 0.0000) (multiplicity 16)  6 O 1.92
Fe (0.1250, 0.1250, 0.6250) (multiplicity 8)  4 O 1.97
O (0.0147, 0.0147, 0.2353) (multiplicity 32)  3 Al 1.92, 1 Fe 1.97

=====

#two
# Al2FeO4

Al2FeO4 at its PBEsol-relaxed geometry (SCAN, the Alexandria database).

Calculated values
Density, g cm⁻³: 4.336
M_tot, μB per cell: 16.00

Unit cell a=5.5173 b=5.8700 c=8.2205 alpha=90.00 beta=90.00 gamma=90.00
Closest atoms and distances in Å follow each position.
Space group Imma (No. 74)
Symmetry-distinct sites (fractional):
Al (0.0000, 0.0000, 0.0000) (multiplicity 4)  6 O 1.89-1.96
Al (0.0000, 0.2500, 0.3639) (multiplicity 4)  4 O 1.78-1.82
Fe (0.2500, 0.2500, 0.7500) (multiplicity 4)  6 O 2.07-2.08
O (0.0000, 0.0117, 0.2298) (multiplicity 8)  2 Al 1.78-1.89
O (0.2367, 0.2500, 0.0027) (multiplicity 8)  3 Al 1.82-1.96

=====

In terms of stability, #one leads; the second structure lies 45 meV per atom higher.

=====

#one
# AlFe2Se

AlFe2Se at its PBEsol-relaxed geometry (SCAN, the Alexandria database).

Calculated values
Density, g cm⁻³: 6.848
M_tot, μB per cell: 4.88

Unit cell a=3.2595 b=3.8039 c=4.2562 alpha=90.00 beta=90.00 gamma=90.00
Closest atoms and distances in Å follow each position.
Space group Pmmm (No. 47)
Symmetry-distinct sites (fractional):
Al (0.0000, 0.0000, 0.0000) (multiplicity 1)  4 Fe 2.50, 4 Se 2.68
Fe (0.0000, 0.5000, 0.5000) (multiplicity 1)  4 Se 2.50, 4 Fe 2.68
Fe (0.5000, 0.5000, 0.0000) (multiplicity 1)  4 Al 2.50, 4 Fe 2.68
Se (0.5000, 0.0000, 0.5000) (multiplicity 1)  4 Fe 2.50, 4 Al 2.68

=====

#two
# AlFe2Se

AlFe2Se at its PBEsol-relaxed geometry (SCAN, the Alexandria database).

Calculated values
Density, g cm⁻³: 6.816
M_tot, μB per cell: 9.83

Unit cell a=3.7457 b=3.7457 c=7.5578 alpha=90.00 beta=90.00 gamma=90.00
Closest atoms and distances in Å follow each position.
Space group I4/mmm (No. 139)
Symmetry-distinct sites (fractional):
Al (0.0000, 0.0000, 0.0000) (multiplicity 2)  4 Se 2.65, 8 Fe 2.66
Fe (0.0000, 0.5000, 0.2500) (multiplicity 4)  4 Fe 2.65, 4 Se 2.66, 4 Al 2.66
Se (0.0000, 0.0000, 0.5000) (multiplicity 2)  4 Al 2.65, 8 Fe 2.66

=====

#three
# AlFe2Se

AlFe2Se at its PBEsol-relaxed geometry (SCAN, the Alexandria database).

Calculated values
Density, g cm⁻³: 7.563
M_tot, μB per cell: 0.00

Unit cell a=2.8978 b=2.8978 c=5.6904 alpha=90.00 beta=90.00 gamma=90.00
Closest atoms and distances in Å follow each position.
Space group P4/mmm (No. 123)
Symmetry-distinct sites (fractional):
Al (0.0000, 0.0000, 0.0000) (multiplicity 1)  8 Fe 2.51
Fe (0.5000, 0.5000, 0.2551) (multiplicity 2)  4 Se 2.48, 4 Al 2.51
Se (0.0000, 0.0000, 0.5000) (multiplicity 1)  8 Fe 2.48

=====

In terms of stability, #one leads; the second structure lies 65 meV per atom higher.

=====

#one
# Al3FeSi2

Al3FeSi2 at its PBEsol-relaxed geometry (SCAN, the Alexandria database).

Calculated values
Density, g cm⁻³: 3.754
M_tot, μB per cell: 0.19

Unit cell a=6.0022 b=6.0022 c=9.4776 alpha=90.00 beta=90.00 gamma=90.00
Closest atoms and distances in Å follow each position.
Space group I4cm (No. 108)
Symmetry-distinct sites (fractional):
Al (0.0000, 0.0000, 0.0000) (multiplicity 4)  2 Fe 2.31-2.43
Al (0.1616, 0.3384, 0.3530) (multiplicity 8)  2 Fe 2.48, 4 Si 2.56-2.76, 3 Al 2.65-2.74
Fe (0.0000, 0.0000, 0.2433) (multiplicity 4)  6 Al 2.31-2.48, 4 Si 2.48
Si (0.1473, 0.3527, 0.6438) (multiplicity 8)  2 Fe 2.48, 1 Si 2.50, 6 Al 2.56-2.76

=====

#two
# Al3FeSi2

Al3FeSi2 at its PBEsol-relaxed geometry (SCAN, the Alexandria database).

Calculated values
Density, g cm⁻³: 3.774
M_tot, μB per cell: 0.32

Unit cell a=6.0084 b=6.0081 c=9.4079 alpha=90.00 beta=90.00 gamma=90.00
Closest atoms and distances in Å follow each position.
Space group Pbcn (No. 60)
Symmetry-distinct sites (fractional):
Al (0.0000, 0.0000, 0.0000) (multiplicity 4)  2 Fe 2.35, 2 Si 2.63, 2 Al 2.63
Al (0.1371, 0.3708, 0.1339) (multiplicity 8)  2 Fe 2.54-2.59, 4 Si 2.58-2.75, 3 Al 2.63-2.74
Fe (0.0000, 0.0148, 0.2500) (multiplicity 4)  6 Al 2.35-2.59, 4 Si 2.40-2.43
Si (0.1658, 0.3236, 0.8437) (multiplicity 8)  2 Fe 2.40-2.43, 3 Al 2.58-2.63, 1 Si 2.66

=====

In terms of stability, #two leads; the second structure lies 19 meV per atom higher.

=====

#one
# AlFeTe

AlFeTe at its PBEsol-relaxed geometry (SCAN, the Alexandria database).

Calculated values
Density, g cm⁻³: 5.929
M_tot, μB per cell: 9.52

Unit cell a=6.1774 b=6.1774 c=6.1774 alpha=90.00 beta=90.00 gamma=90.00
Closest atoms and distances in Å follow each position.
Space group F-43m (No. 216)
Symmetry-distinct sites (fractional):
Al (0.0000, 0.0000, 0.0000) (multiplicity 4)  4 Fe 2.67, 4 Te 2.67
Fe (0.2500, 0.2500, 0.7500) (multiplicity 4)  4 Al 2.67
Te (0.2500, 0.2500, 0.2500) (multiplicity 4)  4 Al 2.67

=====

#two
# AlFeTe

AlFeTe at its PBEsol-relaxed geometry (SCAN, the Alexandria database).

Calculated values
Density, g cm⁻³: 6.579
M_tot, μB per cell: 2.97

Unit cell a=3.0330 b=3.0330 c=11.5466 alpha=90.00 beta=90.00 gamma=90.00
Closest atoms and distances in Å follow each position.
Space group I4mm (No. 107)
Symmetry-distinct sites (fractional):
Al (0.0000, 0.0000, 0.0000) (multiplicity 2)  4 Fe 2.56
Fe (0.0000, 0.0000, 0.6207) (multiplicity 2)  4 Al 2.56, 4 Te 2.62
Te (0.0000, 0.0000, 0.2516) (multiplicity 2)  4 Fe 2.62, 1 Al 2.91

=====

In terms of stability, #two leads; the second structure lies 229 meV per atom higher.